A geometry-optimized SrMg2Re structure, computed with GGA-PBE.

Relative energy among the computed polymorphs in eV per atom: 0.0317
Calculated formation energy in meV/atom: 559
Total DFT energy (no corrections) in eV/atom: -3.771

Unit cell a=3.022 b=4.032 c=7.804 alpha=90.00 beta=90.11 gamma=90.00
Space group Pm (No. 6)
Asymmetric unit:
Sr 0.000 0.000 0.000
Mg 0.497 0.500 0.360
Mg 0.998 0.000 0.577
Re 0.499 0.500 0.729

=====

A geometry-optimized Sr4CaAg structure, computed with GGA-PBE.

Relative energy among the computed polymorphs in eV per atom: 0.4515
Calculated formation energy in meV/atom: 370
Total DFT energy (no corrections) in eV/atom: -1.560

Unit cell a=10.645 b=10.645 c=10.645 alpha=90.00 beta=90.00 gamma=90.00
Space group F-43m (No. 216)
Asymmetric unit:
Sr 0.125 0.125 0.125
Ca 0.000 0.000 0.500
Ag 0.250 0.250 0.750